[1]
DFT (GGA-PBE) results for CaBePd after structural relaxation.

abc: 5.457 7.610 6.922
angles: 81.88 66.79 68.99
Positions (direct):
Pd 0.692 0.340 0.276
Pd 0.968 0.340 0.724
Be 0.852 0.000 0.296
Ca 0.521 0.243 0.715
Ca 0.764 0.757 0.715
Ca 0.236 0.243 0.285
Be 0.924 0.151 0.000
Be 0.076 0.849 0.000
Pd 0.308 0.660 0.724
Ca 0.479 0.757 0.285
Be 0.148 0.000 0.704
Pd 0.032 0.660 0.276

Calculated volume   20.55 A^3/atom
Symmetry   Fmmm (69)
Raw total energy   -0.2782 Ry/atom
DFT formation energy   -144 meV per atom
N(E_F)   0.47 states/eV per atom
E above lowest polymorph   263 meV per atom
Total moment   0.0 μB/f.u.

---

[2]
DFT (GGA-PBE) results for Ca2BePd2 after structural relaxation.

abc: 5.731 5.731 7.359
angles: 79.79 79.79 59.95
Positions (direct):
Ca 0.476 0.224 0.148
Be 0.085 0.915 0.250
Ca 0.524 0.776 0.852
Pd 0.248 0.997 0.493
Ca 0.776 0.524 0.352
Be 0.915 0.085 0.750
Pd 0.003 0.752 0.007
Ca 0.224 0.476 0.648
Pd 0.752 0.003 0.507
Pd 0.997 0.248 0.993

Calculated volume   20.48 A^3/atom
Symmetry   C2/c (15)
Raw total energy   -0.3085 Ry/atom
DFT formation energy   -575 meV per atom
N(E_F)   0.49 states/eV per atom
E above lowest polymorph   0 meV per atom
Total moment   0.0 μB/f.u.

---

[3]
DFT (GGA-PBE) results for CaBePd3 after structural relaxation.

abc: 4.857 4.857 4.857
angles: 90.00 90.00 90.00
Positions (direct):
Ca 0.000 0.000 0.000
Be 0.500 0.500 0.500
Pd 0.000 0.500 0.000
Pd 0.500 0.000 0.000
Pd 0.000 0.000 0.500

Calculated volume   22.91 A^3/atom
Symmetry   Pm-3m (221)
Raw total energy   -0.2330 Ry/atom
DFT formation energy   1091 meV per atom
N(E_F)   0.29 states/eV per atom
E above lowest polymorph   1711 meV per atom
Total moment   0.0 μB/f.u.

---

[4]
DFT (GGA-PBE) results for CaBePd3 after structural relaxation.

abc: 4.362 4.362 4.362
angles: 90.00 90.00 90.00
Positions (direct):
Pd 0.000 0.500 0.000
Be 0.000 0.000 0.000
Pd 0.000 0.000 0.500
Pd 0.500 0.000 0.000
Ca 0.500 0.500 0.500

Calculated volume   16.60 A^3/atom
Symmetry   Pm-3m (221)
Raw total energy   -0.3571 Ry/atom
DFT formation energy   -597 meV per atom
N(E_F)   0.09 states/eV per atom
E above lowest polymorph   24 meV per atom
Total moment   0.0 μB/f.u.

---

[5]
DFT (GGA-PBE) results for Ca2BePd2 after structural relaxation.

abc: 6.566 6.566 4.644
angles: 90.00 90.00 90.00
Positions (direct):
Pd 0.650 0.150 0.000
Ca 0.173 0.673 0.500
Pd 0.350 0.850 0.000
Ca 0.673 0.827 0.500
Be 0.500 0.500 0.000
Be 0.000 0.000 0.000
Ca 0.827 0.327 0.500
Ca 0.327 0.173 0.500
Pd 0.850 0.650 0.000
Pd 0.150 0.350 0.000

Calculated volume   20.02 A^3/atom
Symmetry   P4/mbm (127)
Raw total energy   -0.2937 Ry/atom
DFT formation energy   -374 meV per atom
N(E_F)   0.71 states/eV per atom
E above lowest polymorph   201 meV per atom
Total moment   0.0 μB/f.u.

---

[6]
DFT (GGA-PBE) results for CaBe2Pd6 after structural relaxation.

abc: 4.756 4.756 8.345
angles: 90.00 90.00 120.00
Positions (direct):
Pd 0.335 0.000 0.699
Be 0.333 0.667 0.500
Ca 0.000 0.000 0.000
Pd 0.665 0.665 0.699
Pd 0.000 0.665 0.301
Pd 0.335 0.335 0.301
Pd 0.000 0.335 0.699
Be 0.667 0.333 0.500
Pd 0.665 0.000 0.301

Calculated volume   18.16 A^3/atom
Symmetry   P-31m (162)
Raw total energy   -0.3530 Ry/atom
DFT formation energy   -291 meV per atom
N(E_F)   0.47 states/eV per atom
Total moment   0.0 μB/f.u.

---

[7]
DFT (GGA-PBE) results for Ca2Be4Pd5 after structural relaxation.

abc: 5.620 5.592 7.055
angles: 78.45 66.53 59.83
Positions (direct):
Pd 0.500 0.500 0.000
Be 0.472 0.317 0.740
Pd 0.000 0.500 0.000
Be 0.788 0.683 0.740
Be 0.528 0.683 0.260
Ca 0.864 0.000 0.272
Ca 0.136 0.000 0.728
Pd 0.750 0.500 0.500
Pd 0.500 0.000 0.000
Pd 0.250 0.500 0.500
Be 0.212 0.317 0.260

Calculated volume   15.98 A^3/atom
Symmetry   Fmmm (69)
Raw total energy   -0.3410 Ry/atom
DFT formation energy   -560 meV per atom
N(E_F)   0.33 states/eV per atom
Total moment   0.0 μB/f.u.

---

[8]
DFT (GGA-PBE) results for Ca3Be2Pd5 after structural relaxation.

abc: 3.382 10.275 10.275
angles: 90.00 90.00 90.00
Positions (direct):
Pd 0.500 0.768 0.930
Be 0.000 0.383 0.117
Pd 0.500 0.732 0.430
Pd 0.500 0.930 0.232
Pd 0.500 0.570 0.732
Pd 0.500 0.500 0.000
Pd 0.500 0.070 0.768
Ca 0.000 0.178 0.322
Be 0.000 0.883 0.383
Ca 0.000 0.822 0.678
Be 0.000 0.117 0.617
Ca 0.000 0.678 0.178
Ca 0.000 0.322 0.822
Pd 0.500 0.430 0.268
Ca 0.000 0.000 0.000
Pd 0.500 0.000 0.500
Pd 0.500 0.268 0.570
Pd 0.500 0.232 0.070
Ca 0.000 0.500 0.500
Be 0.000 0.617 0.883

Calculated volume   17.85 A^3/atom
Symmetry   P4/mbm (127)
Raw total energy   -0.3360 Ry/atom
DFT formation energy   -630 meV per atom
N(E_F)   0.49 states/eV per atom
Total moment   0.0 μB/f.u.

---

[9]
DFT (GGA-PBE) results for Ca2BePd3 after structural relaxation.

abc: 3.405 5.269 7.271
angles: 111.24 103.54 90.00
Positions (direct):
Pd 0.389 0.389 0.778
Pd 0.611 0.611 0.222
Ca 0.682 0.182 0.364
Be 0.000 0.500 0.000
Pd 0.000 0.000 0.000
Ca 0.318 0.818 0.636

Calculated volume   19.62 A^3/atom
Symmetry   Immm (71)
Raw total energy   -0.3112 Ry/atom
DFT formation energy   -350 meV per atom
N(E_F)   0.32 states/eV per atom
E above lowest polymorph   277 meV per atom
Total moment   0.0 μB/f.u.

---

[10]
DFT (GGA-PBE) results for CaBePd3 after structural relaxation.

abc: 5.881 5.862 6.383
angles: 70.42 62.25 59.76
Positions (direct):
Pd 0.020 0.025 0.392
Ca 0.504 0.493 0.418
Be 0.890 0.023 0.116
Pd 0.481 0.024 0.392
Pd 0.148 0.799 0.818
Pd 0.577 0.321 0.926
Be 0.014 0.250 0.643
Ca 0.628 0.831 0.827
Pd 0.091 0.323 0.927
Pd 0.029 0.560 0.302

Calculated volume   16.68 A^3/atom
Symmetry   P1 (1)
Raw total energy   -0.3556 Ry/atom
DFT formation energy   -577 meV per atom
N(E_F)   0.34 states/eV per atom
E above lowest polymorph   43 meV per atom
Total moment   0.0 μB/f.u.

---

[11]
DFT (GGA-PBE) results for Ca2BePd2 after structural relaxation.

abc: 3.785 3.785 8.444
angles: 77.05 77.05 90.00
Positions (direct):
Be 0.000 0.000 0.000
Ca 0.609 0.609 0.783
Pd 0.250 0.750 0.500
Ca 0.391 0.391 0.217
Pd 0.750 0.250 0.500

Calculated volume   22.95 A^3/atom
Symmetry   I4/mmm (139)
Raw total energy   -0.2667 Ry/atom
DFT formation energy   -6 meV per atom
N(E_F)   0.58 states/eV per atom
E above lowest polymorph   569 meV per atom
Total moment   0.0 μB/f.u.

---

[12]
DFT (GGA-PBE) results for CaBePd2Pt after structural relaxation.

abc: 4.360 4.360 4.356
angles: 90.00 90.00 90.00
Positions (direct):
Pd 0.000 0.500 0.000
Ca 0.500 0.500 0.500
Pd 0.500 0.000 0.000
Pt 0.000 0.000 0.500
Be 0.000 0.000 0.000

Calculated volume   16.56 A^3/atom
Symmetry   P4/mmm (123)
Raw total energy   -0.3727 Ry/atom
DFT formation energy   -640 meV per atom
N(E_F)   0.15 states/eV per atom
Total moment   0.0 μB/f.u.